The following is a PBE-GGA calculation of an optimized crystal structure of TcB3, from OQMD via LeMat-Bulk.

a b c (Å): 4.073 4.073 6.172
angles (deg): 90.17 90.17 42.15
Sites, in units of the cell vectors:
B1 0.565 0.565 0.622
B2 0.174 0.174 0.025
B3 0.993 0.993 0.206
B4 0.435 0.435 0.378
B5 0.826 0.826 0.975
B6 0.007 0.007 0.794
Tc1 0.288 0.288 0.705
Tc2 0.712 0.712 0.295

Calculated values
As for the polymorph energy (0 for the lowest one): 52 meV per atom. As for the symmetry: C2/m (12). Its total magnetization is 0.000 μB per cell. Its total energy is -7.875 eV/atom.



The following is a PBE-GGA calculation of an optimized crystal structure of BaHo2S3, from OQMD via LeMat-Bulk.

a b c (Å): 4.016 4.016 10.293
angles (deg): 90.00 90.00 120.00
Sites, in units of the cell vectors:
Ho1 0.333 0.667 0.649
Ba1 0.000 0.000 0.000
S1 0.667 0.333 0.795
S2 0.000 0.000 0.500
Ho2 0.667 0.333 0.351
S3 0.333 0.667 0.205

Calculated values
As for the symmetry: P-3m1 (164). Its total magnetization is 0.006 μB per cell. Its total energy is -5.894 eV/atom.



The following is a PBE-GGA calculation of an optimized crystal structure of TmAlPt, from OQMD via LeMat-Bulk.

a b c (Å): 4.463 4.463 6.736
angles (deg): 90.00 90.00 120.00
Sites, in units of the cell vectors:
Pt1 0.333 0.667 0.003
Pt2 0.667 0.333 0.503
Tm1 0.000 0.000 0.750
Tm2 0.000 0.000 0.250
Al1 0.667 0.333 0.997
Al2 0.333 0.667 0.497

Calculated values
As for the symmetry: P6_3mc (186). Its total magnetization is 0.001 μB per cell. Its total energy is -5.837 eV/atom.



The following is a PBE-GGA calculation of an optimized crystal structure of SrCdSO, from OQMD via LeMat-Bulk.

a b c (Å): 5.529 5.529 7.237
angles (deg): 90.00 90.00 90.00
Sites, in units of the cell vectors:
S1 0.750 0.750 0.852
S2 0.250 0.250 0.148
O1 0.250 0.250 0.374
Cd1 0.250 0.250 0.672
Sr1 0.250 0.750 0.000
O2 0.750 0.750 0.626
Cd2 0.750 0.750 0.328
Sr2 0.750 0.250 0.000

Calculated values
As for the symmetry: P4/nmm (129). Its total energy is -3.753 eV/atom.



The following is a PBE-GGA calculation of an optimized crystal structure of Li2CuTcH6, from OQMD via LeMat-Bulk.

a b c (Å): 8.767 8.034 4.595
angles (deg): 90.00 90.24 90.00
Sites, in units of the cell vectors:
H1 0.390 0.080 0.492
Cu1 0.748 0.852 0.244
Li1 0.425 0.879 0.747
Li2 0.075 0.620 0.250
H2 0.633 0.347 0.228
Tc1 0.750 0.514 0.245
H3 0.889 0.581 0.486
H4 0.889 0.919 0.986
H5 0.609 0.924 0.984
H6 0.112 0.417 0.992
H7 0.112 0.083 0.492
Li3 0.425 0.621 0.247
Tc2 0.250 0.014 0.255
H8 0.111 0.081 0.014
H9 0.391 0.424 0.516
Tc3 0.750 0.986 0.745
H10 0.633 0.153 0.728
Li4 0.075 0.880 0.750
H11 0.609 0.576 0.484
Cu2 0.252 0.148 0.756
H12 0.127 0.649 0.756
Li5 0.575 0.121 0.253
Li6 0.925 0.380 0.750
H13 0.111 0.419 0.514
H14 0.610 0.920 0.508
Tc4 0.250 0.486 0.755
H15 0.610 0.580 0.008
H16 0.391 0.076 0.016
Li7 0.925 0.120 0.250
H17 0.873 0.351 0.244
H18 0.888 0.917 0.508
H19 0.873 0.149 0.744
Cu3 0.748 0.648 0.744
H20 0.367 0.653 0.772
H21 0.367 0.847 0.272
H22 0.390 0.420 0.992
H23 0.888 0.583 0.008
Cu4 0.252 0.352 0.256
Li8 0.575 0.379 0.753
H24 0.127 0.851 0.256

Calculated values
As for the polymorph energy (0 for the lowest one): 27 meV per atom. As for the symmetry: P2_1/c (14). Its total magnetization is 0.011 μB per cell. Its total energy is -3.887 eV/atom.



The following is a PBE-GGA calculation of an optimized crystal structure of KNiAuSeS2, from OQMD via LeMat-Bulk.

a b c (Å): 8.301 8.301 9.987
angles (deg): 90.00 90.00 156.40
Sites, in units of the cell vectors:
Se1 0.952 0.048 0.750
Au1 0.391 0.609 0.250
S1 0.406 0.594 0.018
Ni1 0.000 0.000 0.500
Au2 0.609 0.391 0.750
S2 0.594 0.406 0.518
K1 0.282 0.718 0.750
K2 0.718 0.282 0.250
S3 0.594 0.406 0.982
Se2 0.048 0.952 0.250
S4 0.406 0.594 0.482
Ni2 0.000 0.000 0.000

Calculated values
As for the symmetry: Cmcm (63). Its total magnetization is 0.014 μB per cell. Its total energy is -3.917 eV/atom.



The following is a PBE-GGA calculation of an optimized crystal structure of Zr3TlB4, from OQMD via LeMat-Bulk.

a b c (Å): 3.147 3.426 10.282
angles (deg): 90.00 90.00 90.00
Sites, in units of the cell vectors:
Zr1 0.000 0.000 0.500
B1 0.500 0.500 0.597
B2 0.500 0.500 0.403
B3 0.000 0.500 0.675
Tl1 0.000 0.500 0.000
B4 0.000 0.500 0.325
Zr2 0.500 0.000 0.225
Zr3 0.500 0.000 0.775

Calculated values
As for the symmetry: Pmmm (47). Its total magnetization is 0.009 μB per cell. Its total energy is -7.514 eV/atom.



The following is a PBE-GGA calculation of an optimized crystal structure of Rb2Zn5Sn3, from OQMD via LeMat-Bulk.

a b c (Å): 11.324 11.324 11.324
angles (deg): 154.16 154.16 36.87
Sites, in units of the cell vectors:
Zn1 0.565 0.065 0.500
Sn1 0.373 0.373 0.000
Rb1 0.812 0.812 0.000
Rb2 0.188 0.188 0.000
Zn2 0.935 0.435 0.500
Zn3 0.435 0.935 0.500
Sn2 0.627 0.627 0.000
Sn3 0.000 0.000 0.000
Zn4 0.065 0.565 0.500
Zn5 0.500 0.500 0.000

Calculated values
As for the symmetry: I4/mmm (139). Its total energy is -2.080 eV/atom.



The following is a PBE-GGA calculation of an optimized crystal structure of CsKAsAu, from OQMD via LeMat-Bulk.

a b c (Å): 6.776 6.594 6.594
angles (deg): 72.38 90.00 90.00
Sites, in units of the cell vectors:
K1 0.750 0.017 0.327
K2 0.250 0.327 0.017
As1 0.250 0.733 0.252
Au1 0.500 0.506 0.506
Au2 0.000 0.506 0.506
Cs1 0.250 0.982 0.677
Cs2 0.750 0.677 0.982
As2 0.750 0.252 0.733

Calculated values
As for the polymorph energy (0 for the lowest one): 7 meV per atom. As for the symmetry: Ama2 (40). Its total energy is -2.961 eV/atom.



The following is a PBE-GGA calculation of an optimized crystal structure of ScCuAgBi, from OQMD via LeMat-Bulk.

a b c (Å): 4.855 4.855 4.855
angles (deg): 60.00 60.00 60.00
Sites, in units of the cell vectors:
Cu1 0.250 0.250 0.250
Bi1 0.000 0.000 0.000
Ag1 0.500 0.500 0.500
Sc1 0.750 0.750 0.750

Calculated values
As for the polymorph energy (0 for the lowest one): 0 meV per atom. As for the symmetry: F-43m (216). Its total magnetization is 0.000 μB per cell. Its total energy is -4.314 eV/atom.



The following is a PBE-GGA calculation of an optimized crystal structure of HfThBr2, from OQMD via LeMat-Bulk.

a b c (Å): 4.128 4.128 5.772
angles (deg): 90.00 90.00 90.00
Sites, in units of the cell vectors:
Hf1 0.500 0.500 0.000
Br1 0.500 0.500 0.500
Br2 0.000 0.000 0.000
Th1 0.000 0.000 0.500

Calculated values
As for the symmetry: P4/mmm (123). Its total magnetization is 0.011 μB per cell. Its total energy is -5.173 eV/atom.



The following is a PBE-GGA calculation of an optimized crystal structure of PdI2O, from OQMD via LeMat-Bulk.

a b c (Å): 6.862 6.862 8.145
angles (deg): 105.96 105.96 32.39
Sites, in units of the cell vectors:
O1 0.515 0.515 0.783
Pd1 0.011 0.011 0.259
I1 0.164 0.164 0.090
I2 0.836 0.836 0.910
O2 0.485 0.485 0.217
Pd2 0.989 0.989 0.741
I3 0.850 0.850 0.428
I4 0.150 0.150 0.572

Calculated values
As for the symmetry: C2/m (12). Its total energy is -3.227 eV/atom.



The following is a PBE-GGA calculation of an optimized crystal structure of Ta2Ag2O5, from OQMD via LeMat-Bulk.

a b c (Å): 10.194 3.320 3.320
angles (deg): 90.00 90.00 90.00
Sites, in units of the cell vectors:
O1 0.880 0.500 0.000
O2 0.120 0.000 0.500
Ta1 0.500 0.000 0.000
O3 0.880 0.000 0.500
Ag1 0.279 0.500 0.500
O4 0.500 0.500 0.500
Ta2 0.000 0.000 0.000
O5 0.120 0.500 0.000
Ag2 0.721 0.500 0.500

Calculated values
As for the polymorph energy (0 for the lowest one): 788 meV per atom. As for the symmetry: P4/mmm (123). Its total magnetization is 0.034 μB per cell. Its total energy is -6.852 eV/atom.



The following is a PBE-GGA calculation of an optimized crystal structure of SmFe2P2, from OQMD via LeMat-Bulk.

a b c (Å): 3.731 3.731 6.569
angles (deg): 90.00 90.00 120.00
Sites, in units of the cell vectors:
Sm1 0.000 0.000 0.000
Fe1 0.333 0.667 0.629
Fe2 0.667 0.333 0.371
P1 0.667 0.333 0.705
P2 0.333 0.667 0.295

Calculated values
As for the symmetry: P-3m1 (164). Its total magnetization is 0.011 μB per cell. Its total energy is -7.277 eV/atom.



The following is a PBE-GGA calculation of an optimized crystal structure of Zn5Os, from OQMD via LeMat-Bulk.

a b c (Å): 4.785 4.785 4.259
angles (deg): 90.00 90.00 60.00
Sites, in units of the cell vectors:
Zn1 0.333 0.333 0.000
Zn2 0.670 0.000 0.500
Os1 0.000 0.000 0.000
Zn3 0.330 0.670 0.500
Zn4 0.000 0.330 0.500
Zn5 0.667 0.667 0.000

Calculated values
As for the energy relative to the elements: 0.102 eV per atom. As for the symmetry: P-62m (189). Its total magnetization is 0.001 μB per cell. Its total energy is -2.823 eV/atom.



The following is a PBE-GGA calculation of an optimized crystal structure of Rb2Mo9Se10, from OQMD via LeMat-Bulk.

a b c (Å): 13.994 13.994 13.994
angles (deg): 40.00 40.00 40.00
Sites, in units of the cell vectors:
Se1 0.800 0.800 0.800
Mo1 0.801 0.989 0.121
Se2 0.054 0.793 0.420
Se3 0.325 0.692 0.069
Se4 0.193 0.815 0.565
Mo2 0.760 0.082 0.895
Se5 0.565 0.193 0.815
Se6 0.692 0.069 0.325
Mo3 0.199 0.011 0.879
Mo4 0.121 0.801 0.989
Mo5 0.879 0.199 0.011
Mo6 0.240 0.918 0.105
Rb1 0.704 0.704 0.704
Se7 0.069 0.325 0.692
Se8 0.200 0.200 0.200
Rb2 0.577 0.577 0.577
Se9 0.793 0.420 0.054
Mo7 0.105 0.240 0.918
Se10 0.946 0.207 0.580
Rb3 0.423 0.423 0.423
Se11 0.815 0.565 0.193
Mo8 0.000 0.683 0.875
Se12 0.308 0.931 0.675
Mo9 0.000 0.317 0.125
Mo10 0.875 0.000 0.683
Se13 0.807 0.185 0.435
Se14 0.420 0.054 0.793
Mo11 0.082 0.895 0.760
Se15 0.207 0.580 0.946
Se16 0.931 0.675 0.308
Mo12 0.989 0.121 0.801
Mo13 0.895 0.760 0.082
Se17 0.185 0.435 0.807
Mo14 0.125 0.000 0.317
Se18 0.435 0.807 0.185
Rb4 0.296 0.296 0.296
Mo15 0.011 0.879 0.199
Se19 0.580 0.946 0.207
Mo16 0.918 0.105 0.240
Se20 0.675 0.308 0.931
Mo17 0.317 0.125 0.000
Mo18 0.683 0.875 0.000

Calculated values
As for the symmetry: R-3 (148). Its total magnetization is 0.220 μB per cell. Its total energy is -7.067 eV/atom.



The following is a PBE-GGA calculation of an optimized crystal structure of NdEr2Ge3PdPt2, from OQMD via LeMat-Bulk.

a b c (Å): 3.940 7.284 7.284
angles (deg): 120.56 90.00 90.00
Sites, in units of the cell vectors:
Pd1 0.000 0.008 0.008
Ge1 0.500 0.747 0.003
Pt1 0.500 0.670 0.324
Ge2 0.500 0.252 0.252
Er1 0.000 0.999 0.406
Nd1 0.000 0.590 0.590
Ge3 0.500 0.003 0.747
Er2 0.000 0.406 0.999
Pt2 0.500 0.324 0.670

Calculated values
As for the symmetry: Amm2 (38). Its total magnetization is 0.003 μB per cell. Its total energy is -6.000 eV/atom.



The following is a PBE-GGA calculation of an optimized crystal structure of Sc4Cu3W2N3, from OQMD via LeMat-Bulk.

a b c (Å): 5.390 5.390 13.353
angles (deg): 101.76 101.76 59.32
Sites, in units of the cell vectors:
W1 0.545 0.381 0.634
Sc1 0.695 0.857 0.088
Sc2 0.857 0.695 0.588
N1 0.500 0.000 0.500
N2 0.657 0.185 0.000
N3 0.000 0.500 0.000
N4 0.343 0.815 0.000
Cu1 0.997 0.003 0.750
Cu2 0.003 0.997 0.250
W2 0.381 0.545 0.134
Cu3 0.588 0.819 0.751
Cu4 0.412 0.181 0.249
Sc3 0.797 0.980 0.413
Sc4 0.980 0.797 0.913
Cu5 0.819 0.588 0.251
W3 0.619 0.455 0.866
W4 0.455 0.619 0.366
Sc5 0.305 0.143 0.912
Sc6 0.143 0.305 0.412
N5 0.185 0.657 0.500
Sc7 0.020 0.203 0.087
Sc8 0.203 0.020 0.587
N6 0.815 0.343 0.500
Cu6 0.181 0.412 0.749

Calculated values
As for the symmetry: C2/c (15). Its total magnetization is 0.010 μB per cell. Its total energy is -7.728 eV/atom.



The following is a PBE-GGA calculation of an optimized crystal structure of HfTc2Ag, from OQMD via LeMat-Bulk.

a b c (Å): 4.552 4.552 4.552
angles (deg): 60.00 60.00 60.00
Sites, in units of the cell vectors:
Hf1 0.500 0.500 0.500
Ag1 0.750 0.750 0.750
Tc1 0.250 0.250 0.250
Tc2 0.000 0.000 0.000

Calculated values
As for the energy relative to the elements: 0.161 eV per atom. As for the symmetry: F-43m (216). Its total magnetization is 0.002 μB per cell. Its total energy is -8.214 eV/atom.



The following is a PBE-GGA calculation of an optimized crystal structure of NpBr2, from OQMD via LeMat-Bulk.

a b c (Å): 7.443 7.443 3.706
angles (deg): 90.00 90.00 90.00
Sites, in units of the cell vectors:
Br1 0.720 0.720 0.000
Br2 0.220 0.780 0.500
Np1 0.000 0.000 0.000
Br3 0.780 0.220 0.500
Np2 0.500 0.500 0.500
Br4 0.280 0.280 0.000

Calculated values
As for the symmetry: P4_2/mnm (136). Its total magnetization is 10.001 μB per cell. Its total energy is -6.385 eV/atom.



The following is a PBE-GGA calculation of an optimized crystal structure of AcTmNO, from OQMD via LeMat-Bulk.

a b c (Å): 5.916 6.883 8.008
angles (deg): 90.00 90.00 90.00
Sites, in units of the cell vectors:
O1 0.652 0.103 0.568
N1 0.989 0.422 0.156
Ac1 0.548 0.931 0.872
N2 0.489 0.078 0.156
N3 0.989 0.922 0.844
Ac2 0.548 0.431 0.128
Tm1 0.514 0.405 0.620
Ac3 0.048 0.069 0.128
Tm2 0.514 0.905 0.380
O2 0.152 0.397 0.568
N4 0.489 0.578 0.844
Tm3 0.014 0.095 0.620
O3 0.652 0.603 0.432
Tm4 0.014 0.595 0.380
Ac4 0.048 0.569 0.872
O4 0.152 0.897 0.432

Calculated values
As for the polymorph energy (0 for the lowest one): 76 meV per atom. As for the symmetry: Pca2_1 (29). Its total magnetization is 0.114 μB per cell. Its total energy is -7.456 eV/atom.